The following is a DFT calculation (GGA+U) of crystalline Rb2MoO4F2 at its relaxed geometry.

Calculated values
ρ	3.7	g/cm³
crystal system	orthorhombic
electronic total energy	-47.1	eV per formula unit

Lattice parameters (Å, degrees): 7.900 7.900 7.200 90.00 90.00 133.10
Element x y z (fractional)
1 Rb 0.054 0.946 0.750
2 Rb 0.266 0.734 0.250
3 Rb 0.734 0.266 0.750
4 Rb 0.946 0.054 0.250
5 Mo 0.392 0.608 0.750
6 Mo 0.608 0.392 0.250
7 O 0.159 0.384 0.581
8 O 0.159 0.384 0.919
9 O 0.384 0.159 0.081
10 O 0.384 0.159 0.419
11 O 0.616 0.841 0.581
12 O 0.616 0.841 0.919
13 O 0.841 0.616 0.081
14 O 0.841 0.616 0.419
15 F 0.252 0.748 0.750
16 F 0.471 0.529 0.250
17 F 0.529 0.471 0.750
18 F 0.748 0.252 0.250